A plane-wave DFT calculation with PBE was carried out for a relaxed structure of KBiAsSe2.

Values from the calculation:
magnetization: 0.332 μB/atom
symmetry: P4/mmm, No. 123
formation energy without anion corrections: 29 meV/atom
DOS at the Fermi energy: 0.93 states/eV/atom

abc: 5.691 5.691 5.562
angles: 90.00 90.00 90.00
Each line ends with the local moment (μB).
Sites, in units of the cell vectors:
K1 0.500 0.500 0.500  0.00
As1 0.000 0.000 0.500  0.57
Bi1 0.000 0.000 0.000  -0.01
Se1 0.000 0.500 0.000  0.12
Se2 0.500 0.000 0.000  0.12